11
Lattice="9.032 0.000 0.000 -4.516 7.822 0.000 0.000 0.000 6.053" Properties=species:S:1:pos:R:3 comment="Pr3Nd3In5 PBE optimized geometry" delta_e_f_mev_per_atom=307 e_tot_ev_per_atom=-3.5420 pbc="T T T"
Pr -1.282 2.221 0.000
Pr 2.565 0.000 0.000
Pr 3.234 5.601 0.000
Nd -1.061 1.837 3.027
Nd 2.121 0.000 3.027
Nd 3.455 5.985 3.027
In -2.726 4.722 3.027
In 0.000 5.215 3.027
In 1.790 3.100 3.027
In 5.453 0.000 3.027
In 4.516 2.607 3.027